(1)
Density functional theory data (GGA-PBE) for a relaxed Cs2B2Pd crystal.

Output
As for the total energy: -15.2 eV per formula unit. Its crystal system is tetragonal. The value obtained for the size of the total moment is 0.14 Bohr magnetons per cell. As for the density of states at the Fermi level: 3.131 states/eV/f.u.

a b c (Å): 6.490 6.490 5.541
angles (deg): 90.00 90.00 90.00
Atoms (fractional coordinates):
Pd: 0.000 0.000 0.000
Pd: 0.500 0.500 0.000
Cs: 0.301 0.199 0.500
Cs: 0.801 0.301 0.500
Cs: 0.199 0.699 0.500
Cs: 0.699 0.801 0.500
B: 0.411 0.911 0.000
B: 0.589 0.089 0.000
B: 0.089 0.411 0.000
B: 0.911 0.589 0.000

=====

(2)
Density functional theory data (GGA-PBE) for a relaxed CsReBPd2 crystal.

Output
As for the total energy: -19.6 eV per formula unit. Its crystal system is tetragonal. The value obtained for the size of the total moment is 0.43 Bohr magnetons per cell. As for the density of states at the Fermi level: 6.848 states/eV/f.u.

a b c (Å): 4.829 6.351 4.829
angles (deg): 90.00 90.00 90.00
Last column: magnetic moment on the atom in μB.
Atoms (fractional coordinates):
Re: 0.000 0.000 0.000  -0.32
Pd: 0.500 0.000 0.000  -0.02
Pd: 0.000 0.000 0.500  -0.03
B: 0.500 0.500 0.500  0.31
Cs: 0.000 0.500 0.000  0.02

=====

(3)
Density functional theory data (GGA-PBE) for a relaxed Cs2TiBPd crystal.

Output
As for the total energy: -14.3 eV per formula unit. Its crystal system is tetragonal. The value obtained for the size of the total moment is 4.43 Bohr magnetons per cell. As for the density of states at the Fermi level: 5.877 states/eV/f.u.

a b c (Å): 6.841 4.889 6.841
angles (deg): 90.00 90.00 90.00
Last column: magnetic moment on the atom in μB.
Atoms (fractional coordinates):
B: 0.500 0.500 0.500  0.53
Cs: 0.500 0.000 0.000  0.04
Cs: 0.000 0.000 0.500  0.04
Pd: 0.000 0.000 0.000  -0.02
Ti: 0.000 0.500 0.000  1.73

=====

Calculated density list, top to bottom, in g/cm3: 5.60 6.09 3.13
Formation energy list, top to bottom, in eV/atom: 1.013 2.148 1.430